As2OsRh: optimized geometry, PBE.

Properties
space-group type = P4/mmm, No. 123
volume = 60.3 Å³/f.u.
size of the total moment = 0.00 μB/f.u.
formation enthalpy at 0 K = 0.146 eV per atom

```
As2OsRh
1.0
3.1164 0.0000 0.0000
0.0000 3.1164 0.0000
0.0000 0.0000 6.2062
As Os Rh
2 1 1
direct
0.0000 0.0000 0.2494
0.0000 0.0000 0.7506
0.5000 0.5000 0.0000
0.5000 0.5000 0.5000
```

---

As2OsRh: optimized geometry, PBE.

Properties
space-group type = F-43m, No. 216
volume = 63.0 Å³/f.u.
size of the total moment = 0.00 μB/f.u.
formation enthalpy at 0 K = 0.567 eV per atom

```
As2OsRh
1.0
0.0000 3.1578 3.1578
3.1578 0.0000 3.1578
3.1578 3.1578 0.0000
As Os Rh
2 1 1
direct
0.0000 0.0000 0.0000
0.2500 0.2500 0.2500
0.5000 0.5000 0.5000
0.7500 0.7500 0.7500
```

---

As2OsRh: optimized geometry, PBE.

Properties
space-group type = P4mm, No. 99
volume = 68.6 Å³/f.u.
size of the total moment = 0.00 μB/f.u.
formation enthalpy at 0 K = 0.024 eV per atom

```
As2OsRh
1.0
2.9444 0.0000 0.0000
0.0000 2.9444 0.0000
0.0000 0.0000 7.9142
As Os Rh
2 1 1
direct
0.0000 0.0000 0.0000
0.5000 0.5000 0.3767
0.0000 0.0000 0.5634
0.5000 0.5000 0.8102
```